# Ba5InGe2 (PBE, optimized geometry)
# Calculated formation energy, eV per atom: -0.452
# Size of the total moment, μB per formula unit: 0.00
data_Ba5InGe2
_chemical_formula_sum 'Ba10 In2 Ge4'
_cell_length_a 10.696
_cell_length_b 10.696
_cell_length_c 10.696
_cell_angle_alpha 131.91
_cell_angle_beta 131.91
_cell_angle_gamma 70.37
_symmetry_space_group_name_H-M 'P 1'
_symmetry_Int_Tables_number 1
loop_
_symmetry_equiv_pos_as_xyz
'x,y,z'
loop_
_atom_site_label
_atom_site_type_symbol
_atom_site_fract_x
_atom_site_fract_y
_atom_site_fract_z
_atom_site_occupancy
Ba1 Ba 0.000 0.000 0.000 1
Ba2 Ba 0.039 0.539 0.853 1
Ba3 Ba 0.186 0.039 0.500 1
Ba4 Ba 0.314 0.814 0.853 1
Ba5 Ba 0.461 0.314 0.500 1
Ba6 Ba 0.500 0.500 0.000 1
Ba7 Ba 0.539 0.686 0.500 1
Ba8 Ba 0.686 0.186 0.147 1
Ba9 Ba 0.814 0.961 0.500 1
Ba10 Ba 0.961 0.461 0.147 1
In1 In 0.250 0.250 0.000 1
In2 In 0.750 0.750 0.000 1
Ge1 Ge 0.107 0.393 0.500 1
Ge2 Ge 0.393 0.893 0.287 1
Ge3 Ge 0.607 0.107 0.713 1
Ge4 Ge 0.893 0.607 0.500 1



# PmTm2ScTe4 (PBE, optimized geometry)
# ΔE_f (raw), eV/atom: -1.1989
# Size of the total moment, μB per formula unit: 0.00
data_PmTm2ScTe4
_chemical_formula_sum 'Pm1 Tm2 Sc1 Te4'
_cell_length_a 7.506
_cell_length_b 4.260
_cell_length_c 7.523
_cell_angle_alpha 90.00
_cell_angle_beta 108.75
_cell_angle_gamma 90.00
_symmetry_space_group_name_H-M 'P 1'
_symmetry_Int_Tables_number 1
loop_
_symmetry_equiv_pos_as_xyz
'x,y,z'
loop_
_atom_site_label
_atom_site_type_symbol
_atom_site_fract_x
_atom_site_fract_y
_atom_site_fract_z
_atom_site_occupancy
Pm1 Pm 0.000 0.000 0.000 1
Tm1 Tm 0.500 0.000 0.500 1
Tm2 Tm 0.500 0.500 0.000 1
Sc1 Sc 0.000 0.500 0.500 1
Te1 Te 0.249 0.000 0.740 1
Te2 Te 0.256 0.500 0.262 1
Te3 Te 0.744 0.500 0.738 1
Te4 Te 0.751 0.000 0.260 1



# Pm5Tl2O (PBE, optimized geometry)
# ΔE_f (raw), eV/atom: -0.7058
# Size of the total moment, μB per formula unit: 2.25
# E above lowest polymorph, meV/atom: 154
data_Pm5Tl2O
_chemical_formula_sum 'Pm5 Tl2 O1'
_cell_length_a 6.890
_cell_length_b 6.890
_cell_length_c 6.890
_cell_angle_alpha 118.06
_cell_angle_beta 118.06
_cell_angle_gamma 93.40
_symmetry_space_group_name_H-M 'P 1'
_symmetry_Int_Tables_number 1
loop_
_symmetry_equiv_pos_as_xyz
'x,y,z'
loop_
_atom_site_label
_atom_site_type_symbol
_atom_site_fract_x
_atom_site_fract_y
_atom_site_fract_z
_atom_site_occupancy
Pm1 Pm 0.000 0.000 0.000 1
Pm2 Pm 0.503 0.503 0.520 1
Pm3 Pm 0.503 0.984 0.000 1
Pm4 Pm 0.984 0.503 0.000 1
Pm5 Pm 0.984 0.984 0.480 1
Tl1 Tl 0.493 0.993 0.500 1
Tl2 Tl 0.993 0.493 0.500 1
O1 O 0.740 0.740 0.000 1



# Li6ZnSi (PBE, optimized geometry)
# ΔE_f (raw), eV/atom: -0.1376
# Size of the total moment, μB per formula unit: 0.00
data_Li6ZnSi
_chemical_formula_sum 'Li6 Zn1 Si1'
_cell_length_a 4.278
_cell_length_b 5.440
_cell_length_c 5.440
_cell_angle_alpha 74.03
_cell_angle_beta 90.00
_cell_angle_gamma 90.00
_symmetry_space_group_name_H-M 'P 1'
_symmetry_Int_Tables_number 1
loop_
_symmetry_equiv_pos_as_xyz
'x,y,z'
loop_
_atom_site_label
_atom_site_type_symbol
_atom_site_fract_x
_atom_site_fract_y
_atom_site_fract_z
_atom_site_occupancy
Li1 Li 0.000 0.000 0.000 1
Li2 Li 0.000 0.042 0.532 1
Li3 Li 0.000 0.532 0.042 1
Li4 Li 0.500 0.288 0.798 1
Li5 Li 0.500 0.309 0.309 1
Li6 Li 0.500 0.798 0.288 1
Zn1 Zn 0.000 0.561 0.561 1
Si1 Si 0.500 0.781 0.781 1



# Cs3BaHg (PBE, optimized geometry)
# Calculated formation energy, eV per atom: 0.058
# Size of the total moment, μB per formula unit: 0.00
data_Cs3BaHg
_chemical_formula_sum 'Cs3 Ba1 Hg1'
_cell_length_a 7.463
_cell_length_b 7.463
_cell_length_c 7.463
_cell_angle_alpha 90.00
_cell_angle_beta 90.00
_cell_angle_gamma 90.00
_symmetry_space_group_name_H-M 'P 1'
_symmetry_Int_Tables_number 1
loop_
_symmetry_equiv_pos_as_xyz
'x,y,z'
loop_
_atom_site_label
_atom_site_type_symbol
_atom_site_fract_x
_atom_site_fract_y
_atom_site_fract_z
_atom_site_occupancy
Cs1 Cs 0.000 0.000 0.500 1
Cs2 Cs 0.000 0.500 0.000 1
Cs3 Cs 0.500 0.000 0.000 1
Ba1 Ba 0.500 0.500 0.500 1
Hg1 Hg 0.000 0.000 0.000 1



# Cs3ErCu2Cl9 (PBE, optimized geometry)
# ΔE_f (raw), eV/atom: -1.5832
# Size of the total moment, μB per formula unit: 1.06
data_Cs3ErCu2Cl9
_chemical_formula_sum 'Cs3 Er1 Cu2 Cl9'
_cell_length_a 7.310
_cell_length_b 7.310
_cell_length_c 9.019
_cell_angle_alpha 90.00
_cell_angle_beta 90.00
_cell_angle_gamma 120.00
_symmetry_space_group_name_H-M 'P 1'
_symmetry_Int_Tables_number 1
loop_
_symmetry_equiv_pos_as_xyz
'x,y,z'
loop_
_atom_site_label
_atom_site_type_symbol
_atom_site_fract_x
_atom_site_fract_y
_atom_site_fract_z
_atom_site_occupancy
Cs1 Cs 0.000 0.000 0.000 1
Cs2 Cs 0.333 0.667 0.671 1
Cs3 Cs 0.667 0.333 0.329 1
Er1 Er 0.000 0.000 0.500 1
Cu1 Cu 0.333 0.667 0.129 1
Cu2 Cu 0.667 0.333 0.871 1
Cl1 Cl 0.000 0.500 0.000 1
Cl2 Cl 0.169 0.338 0.331 1
Cl3 Cl 0.169 0.831 0.331 1
Cl4 Cl 0.338 0.169 0.669 1
Cl5 Cl 0.500 0.000 0.000 1
Cl6 Cl 0.500 0.500 0.000 1
Cl7 Cl 0.662 0.831 0.331 1
Cl8 Cl 0.831 0.169 0.669 1
Cl9 Cl 0.831 0.662 0.669 1



Repeat the third record exactly.
# Pm5Tl2O (PBE, optimized geometry)
# ΔE_f (raw), eV/atom: -0.7058
# Size of the total moment, μB per formula unit: 2.25
# E above lowest polymorph, meV/atom: 154
data_Pm5Tl2O
_chemical_formula_sum 'Pm5 Tl2 O1'
_cell_length_a 6.890
_cell_length_b 6.890
_cell_length_c 6.890
_cell_angle_alpha 118.06
_cell_angle_beta 118.06
_cell_angle_gamma 93.40
_symmetry_space_group_name_H-M 'P 1'
_symmetry_Int_Tables_number 1
loop_
_symmetry_equiv_pos_as_xyz
'x,y,z'
loop_
_atom_site_label
_atom_site_type_symbol
_atom_site_fract_x
_atom_site_fract_y
_atom_site_fract_z
_atom_site_occupancy
Pm1 Pm 0.000 0.000 0.000 1
Pm2 Pm 0.503 0.503 0.520 1
Pm3 Pm 0.503 0.984 0.000 1
Pm4 Pm 0.984 0.503 0.000 1
Pm5 Pm 0.984 0.984 0.480 1
Tl1 Tl 0.493 0.993 0.500 1
Tl2 Tl 0.993 0.493 0.500 1
O1 O 0.740 0.740 0.000 1



> Which of these has the highest size of the total moment?

Pm5Tl2O



> The highest size of the total moment belongs to which entry?

Pm5Tl2O



> Which formula does entry 2 have?

PmTm2ScTe4